(1)
Density functional theory data (meta-GGA SCAN) for a crystal of RbBe3Al relaxed with PBEsol.

Computed properties:
Total DFT energy (no corrections) = -28.69 eV for the cell shown
Distance to the lowest polymorph of the same formula = 751.1 kJ/mol of formula units
Size of the total moment = 0.00 μB/f.u.
E_form = 2.57 eV per atom

a = 5.227 Å, b = 5.227 Å, c = 5.227 Å
α = 90.00°, β = 90.00°, γ = 90.00°
Sites, in units of the cell vectors:
Be1 0.000 0.500 0.000
Be2 0.000 0.000 0.500
Be3 0.500 0.000 0.000
Al1 0.500 0.500 0.500
Rb1 0.000 0.000 0.000

=====

(2)
Density functional theory data (meta-GGA SCAN) for a crystal of RbCuNi2Pt relaxed with PBEsol.

Computed properties:
Total DFT energy (no corrections) = -125.90 eV for the cell shown
Size of the total moment = 0.00 μB/f.u.
E_form = 2.52 eV per atom

a = 4.406 Å, b = 4.406 Å, c = 5.089 Å
α = 90.00°, β = 90.00°, γ = 90.00°
Sites, in units of the cell vectors:
Ni1 0.000 0.500 0.000
Ni2 0.500 0.000 0.000
Cu1 0.500 0.500 0.500
Rb1 0.000 0.000 0.000
Pt1 0.000 0.000 0.500

=====

(3)
Density functional theory data (meta-GGA SCAN) for a crystal of Zr2ZnAs relaxed with PBEsol.

Computed properties:
Total DFT energy (no corrections) = -97.96 eV for the cell shown
Size of the total moment = 0.00 μB/f.u.
E_form = -0.71 eV per atom

a = 3.811 Å, b = 3.811 Å, c = 5.378 Å
α = 90.00°, β = 90.00°, γ = 90.00°
Sites, in units of the cell vectors:
As1 0.000 0.000 0.375
Zn1 0.500 0.500 0.875
Zr1 0.000 0.000 0.875
Zr2 0.500 0.500 0.375

=====

(4)
Density functional theory data (meta-GGA SCAN) for a crystal of KRuSe2Br relaxed with PBEsol.

Computed properties:
Total DFT energy (no corrections) = -104.82 eV for the cell shown
Size of the total moment = 0.00 μB/f.u.

a = 4.755 Å, b = 4.755 Å, c = 5.554 Å
α = 90.00°, β = 90.00°, γ = 90.00°
Sites, in units of the cell vectors:
Ru1 0.000 0.000 0.000
K1 0.500 0.500 0.500
Se1 0.000 0.500 0.000
Se2 0.500 0.000 0.000
Br1 0.000 0.000 0.500